The following is a DFT calculation (PBE) of CdPbN2 after structural relaxation.

Summary:
E_tot = -4.6542 eV per atom
Total magnetization = 0.0 μB/cell
Volume = 282.4 Å³/cell
Crystal system = tetragonal
Distance to the lowest polymorph of the same formula = 520 meV/atom
Raw formation energy = 2.657 eV/f.u.

Structure (CIF):
```
data_CdPbN2
_cell_length_a 5.2344
_cell_length_b 5.2344
_cell_length_c 10.3069
_cell_angle_alpha 90.00
_cell_angle_beta 90.00
_cell_angle_gamma 90.00
_symmetry_space_group_name_H-M 'I -4 2 d'
_symmetry_Int_Tables_number 122
_symmetry_space_group_name_Hall 'I -4 2bw'
loop_
_atom_site_label
_atom_site_type_symbol
_atom_site_fract_x
_atom_site_fract_y
_atom_site_fract_z
Cd1 Cd 0.0000 0.0000 0.0000
Pb1 Pb 0.0000 0.0000 0.5000
N1 N 0.2390 0.2500 0.6250
```